a) # Ta5Mo3

A PBEsol-optimized structure of Ta5Mo3 (SCAN, Alexandria).

a = 3.204 Å, b = 3.204 Å, c = 12.994 Å
α = 90.00°, β = 90.00°, γ = 90.00°
Space group P4/mmm (No. 123)
One atom of each set of equivalent atoms:
Ta  0.000  0.000  0.000 (multiplicity 1)
Ta  0.000  0.000  0.260 (multiplicity 2)
Ta  0.500  0.500  0.129 (multiplicity 2)
Mo  0.000  0.000  0.500 (multiplicity 1)
Mo  0.500  0.500  0.382 (multiplicity 2)

---

b) # Ta5Mo3

A PBEsol-optimized structure of Ta5Mo3 (SCAN, Alexandria).

a = 4.5420 Å, b = 4.5420 Å, c = 22.3331 Å
α = 90.00°, β = 90.00°, γ = 120.00°
Space group R3m (No. 160, hexagonal axes)
One atom of each set of equivalent atoms:
Ta  0.0000  0.0000  0.0000 (multiplicity 3)
Ta  0.0000  0.0000  0.1254 (multiplicity 3)
Ta  0.0000  0.0000  0.2547 (multiplicity 3)
Ta  0.0000  0.0000  0.5012 (multiplicity 3)
Ta  0.0000  0.0000  0.8727 (multiplicity 3)
Mo  0.0000  0.0000  0.3780 (multiplicity 3)
Mo  0.0000  0.0000  0.6272 (multiplicity 3)
Mo  0.0000  0.0000  0.7478 (multiplicity 3)

---

Unit: meV/atom. Relative energies: a) 40; b) 0.

---

a) # ScTl2Cd

A PBEsol-optimized structure of ScTl2Cd (SCAN, Alexandria).

a = 11.547 Å, b = 3.427 Å, c = 5.134 Å
α = 90.00°, β = 112.72°, γ = 90.00°
Space group Cm (No. 8)
One atom of each set of equivalent atoms:
Sc  0.000  0.000  0.000 (multiplicity 2)
Tl  0.258  0.000  0.889 (multiplicity 2)
Tl  0.495  0.000  0.508 (multiplicity 2)
Cd  0.234  0.500  0.366 (multiplicity 2)

---

b) # ScTl2Cd

A PBEsol-optimized structure of ScTl2Cd (SCAN, Alexandria).

a = 7.172 Å, b = 7.172 Å, c = 7.172 Å
α = 90.00°, β = 90.00°, γ = 90.00°
Space group Fm-3m (No. 225)
One atom of each set of equivalent atoms:
Sc  0.000  0.000  0.000 (multiplicity 4)
Tl  0.250  0.250  0.250 (multiplicity 8)
Cd  0.000  0.000  0.500 (multiplicity 4)

---

Unit: meV/atom. Relative energies: a) 0; b) 69.

---

a) # Li2CdSb

A PBEsol-optimized structure of Li2CdSb (SCAN, Alexandria).

a = 4.894 Å, b = 4.894 Å, c = 3.156 Å
α = 90.00°, β = 90.00°, γ = 90.00°
Space group P4/mmm (No. 123)
One atom of each set of equivalent atoms:
Li  0.000  0.500  0.000 (multiplicity 2)
Cd  0.000  0.000  0.500 (multiplicity 1)
Sb  0.500  0.500  0.500 (multiplicity 1)

---

b) # Li2CdSb

A PBEsol-optimized structure of Li2CdSb (SCAN, Alexandria).

a = 4.299 Å, b = 4.299 Å, c = 8.465 Å
α = 90.00°, β = 90.00°, γ = 90.00°
Space group I-4m2 (No. 119)
One atom of each set of equivalent atoms:
Li  0.000  0.000  0.000 (multiplicity 2)
Li  0.000  0.500  0.250 (multiplicity 2)
Cd  0.000  0.500  0.750 (multiplicity 2)
Sb  0.000  0.000  0.500 (multiplicity 2)

---

Unit: meV/atom. Relative energies: a) 0; b) 28.

---

a) # KMgTi3

A PBEsol-optimized structure of KMgTi3 (SCAN, Alexandria).

a = 5.084 Å, b = 5.084 Å, c = 5.084 Å
α = 90.00°, β = 90.00°, γ = 90.00°
Space group Pm-3m (No. 221)
One atom of each set of equivalent atoms:
K  0.000  0.000  0.000 (multiplicity 1)
Mg  0.500  0.500  0.500 (multiplicity 1)
Ti  0.000  0.500  0.500 (multiplicity 3)

---

b) # KMgTi3

A PBEsol-optimized structure of KMgTi3 (SCAN, Alexandria).

a = 4.541 Å, b = 4.541 Å, c = 4.541 Å
α = 90.00°, β = 90.00°, γ = 90.00°
Space group Pm-3m (No. 221)
One atom of each set of equivalent atoms:
K  0.000  0.000  0.000 (multiplicity 1)
Mg  0.500  0.500  0.500 (multiplicity 1)
Ti  0.000  0.000  0.500 (multiplicity 3)

---

Unit: meV/atom. Relative energies: a) 0; b) 348.

---

a) # Mg2CdAs

A PBEsol-optimized structure of Mg2CdAs (SCAN, Alexandria).

a = 6.894 Å, b = 6.894 Å, c = 6.894 Å
α = 90.00°, β = 90.00°, γ = 90.00°
Space group Fm-3m (No. 225)
One atom of each set of equivalent atoms:
Mg  0.250  0.250  0.250 (multiplicity 8)
Cd  0.000  0.000  0.000 (multiplicity 4)
As  0.000  0.000  0.500 (multiplicity 4)

---

b) # Mg2CdAs

A PBEsol-optimized structure of Mg2CdAs (SCAN, Alexandria).

a = 3.369 Å, b = 4.120 Å, c = 12.549 Å
α = 90.00°, β = 90.00°, γ = 90.00°
Space group Imm2 (No. 44)
One atom of each set of equivalent atoms:
Mg  0.000  0.000  0.000 (multiplicity 2)
Mg  0.000  0.500  0.221 (multiplicity 2)
Cd  0.000  0.000  0.396 (multiplicity 2)
As  0.000  0.500  0.675 (multiplicity 2)

---

Unit: meV/atom. Relative energies: a) 86; b) 0.

---

a) # MgMn2Cl

A PBEsol-optimized structure of MgMn2Cl (SCAN, Alexandria).

a = 3.0551 Å, b = 3.0551 Å, c = 24.7855 Å
α = 90.00°, β = 90.00°, γ = 120.00°
Space group R-3m (No. 166, hexagonal axes)
One atom of each set of equivalent atoms:
Mg  0.0000  0.0000  0.0000 (multiplicity 3)
Mn  0.0000  0.0000  0.2440 (multiplicity 6)
Cl  0.0000  0.0000  0.5000 (multiplicity 3)

---

b) # MgMn2Cl

A PBEsol-optimized structure of MgMn2Cl (SCAN, Alexandria).

a = 3.731 Å, b = 3.731 Å, c = 10.255 Å
α = 90.00°, β = 90.00°, γ = 90.00°
Space group I4/mmm (No. 139)
One atom of each set of equivalent atoms:
Mg  0.000  0.000  0.000 (multiplicity 2)
Mn  0.000  0.500  0.250 (multiplicity 4)
Cl  0.000  0.000  0.500 (multiplicity 2)

---

Unit: meV/atom. Relative energies: a) 0; b) 245.

---

a) # NiIrPt2

A PBEsol-optimized structure of NiIrPt2 (SCAN, Alexandria).

a = 5.363 Å, b = 7.618 Å, c = 2.701 Å
α = 90.00°, β = 90.00°, γ = 90.00°
Space group Cmmm (No. 65)
One atom of each set of equivalent atoms:
Ni  0.000  0.000  0.000 (multiplicity 2)
Ir  0.000  0.500  0.000 (multiplicity 2)
Pt  0.250  0.250  0.500 (multiplicity 4)

---

b) # NiIrPt2

A PBEsol-optimized structure of NiIrPt2 (SCAN, Alexandria).

a = 3.794 Å, b = 3.794 Å, c = 7.594 Å
α = 90.00°, β = 90.00°, γ = 90.00°
Space group I4/mmm (No. 139)
One atom of each set of equivalent atoms:
Ni  0.000  0.000  0.000 (multiplicity 2)
Ir  0.000  0.000  0.500 (multiplicity 2)
Pt  0.000  0.500  0.250 (multiplicity 4)

---

Unit: meV/atom. Relative energies: a) 0; b) 85.

---

a) # YSc2W

A PBEsol-optimized structure of YSc2W (SCAN, Alexandria).

a = 9.967 Å, b = 3.012 Å, c = 5.786 Å
α = 90.00°, β = 96.01°, γ = 90.00°
Space group Cm (No. 8)
One atom of each set of equivalent atoms:
Y  0.000  0.000  0.000 (multiplicity 2)
Sc  0.235  0.000  0.700 (multiplicity 2)
Sc  0.482  0.000  0.463 (multiplicity 2)
W  0.244  0.500  0.263 (multiplicity 2)

---

b) # YSc2W

A PBEsol-optimized structure of YSc2W (SCAN, Alexandria).

a = 3.003 Å, b = 4.469 Å, c = 6.367 Å
α = 90.00°, β = 90.00°, γ = 90.00°
Space group Pmmm (No. 47)
One atom of each set of equivalent atoms:
Y  0.000  0.000  0.000 (multiplicity 1)
Sc  0.500  0.500  0.284 (multiplicity 2)
W  0.000  0.000  0.500 (multiplicity 1)

---

Unit: meV/atom. Relative energies: a) 35; b) 0.

---

a) # Li2NiOs

A PBEsol-optimized structure of Li2NiOs (SCAN, Alexandria).

a = 2.585 Å, b = 2.585 Å, c = 8.124 Å
α = 90.00°, β = 90.00°, γ = 90.00°
Space group P4mm (No. 99)
One atom of each set of equivalent atoms:
Li  0.000  0.000  0.000 (multiplicity 1)
Li  0.500  0.500  0.316 (multiplicity 1)
Ni  0.000  0.000  0.541 (multiplicity 1)
Os  0.500  0.500  0.752 (multiplicity 1)

---

b) # Li2NiOs

A PBEsol-optimized structure of Li2NiOs (SCAN, Alexandria).

a = 2.521 Å, b = 4.357 Å, c = 8.820 Å
α = 90.00°, β = 90.00°, γ = 90.00°
Space group Immm (No. 71)
One atom of each set of equivalent atoms:
Li  0.000  0.000  0.235 (multiplicity 4)
Ni  0.000  0.500  0.500 (multiplicity 2)
Os  0.000  0.500  0.000 (multiplicity 2)

---

Unit: meV/atom. Relative energies: a) 108; b) 0.

---

a) # Cu2IrPt

A PBEsol-optimized structure of Cu2IrPt (SCAN, Alexandria).

a = 5.914 Å, b = 5.914 Å, c = 5.914 Å
α = 90.00°, β = 90.00°, γ = 90.00°
Space group Fm-3m (No. 225)
One atom of each set of equivalent atoms:
Cu  0.250  0.250  0.250 (multiplicity 8)
Ir  0.000  0.000  0.000 (multiplicity 4)
Pt  0.000  0.000  0.500 (multiplicity 4)

---

b) # Cu2IrPt

A PBEsol-optimized structure of Cu2IrPt (SCAN, Alexandria).

a = 2.682 Å, b = 4.543 Å, c = 8.782 Å
α = 90.00°, β = 90.00°, γ = 90.00°
Space group Cmmm (No. 65)
One atom of each set of equivalent atoms:
Cu  0.000  0.000  0.249 (multiplicity 4)
Ir  0.000  0.500  0.000 (multiplicity 2)
Pt  0.000  0.500  0.500 (multiplicity 2)

---

Unit: meV/atom. Relative energies: a) 110; b) 0.

---

a) # LiScOs2

A PBEsol-optimized structure of LiScOs2 (SCAN, Alexandria).

a = 5.333 Å, b = 8.845 Å, c = 2.727 Å
α = 90.00°, β = 115.34°, γ = 90.00°
Space group C2/m (No. 12)
One atom of each set of equivalent atoms:
Li  0.000  0.000  0.000 (multiplicity 2)
Sc  0.000  0.500  0.000 (multiplicity 2)
Os  0.250  0.250  0.500 (multiplicity 4)

---

b) # LiScOs2

A PBEsol-optimized structure of LiScOs2 (SCAN, Alexandria).

a = 2.933 Å, b = 4.445 Å, c = 9.113 Å
α = 90.00°, β = 90.00°, γ = 90.00°
Space group Imm2 (No. 44)
One atom of each set of equivalent atoms:
Li  0.000  0.000  0.000 (multiplicity 2)
Sc  0.000  0.500  0.229 (multiplicity 2)
Os  0.000  0.000  0.470 (multiplicity 2)
Os  0.000  0.500  0.742 (multiplicity 2)

---

Unit: meV/atom. Relative energies: a) 0; b) 29.

---

a) # LiSb3

A PBEsol-optimized structure of LiSb3 (SCAN, Alexandria).

a = 4.174 Å, b = 4.786 Å, c = 9.350 Å
α = 90.00°, β = 90.00°, γ = 90.00°
Space group Cmmm (No. 65)
One atom of each set of equivalent atoms:
Li  0.000  0.000  0.000 (multiplicity 2)
Sb  0.000  0.000  0.500 (multiplicity 2)
Sb  0.000  0.500  0.212 (multiplicity 4)

---

b) # LiSb3

A PBEsol-optimized structure of LiSb3 (SCAN, Alexandria).

a = 3.109 Å, b = 4.102 Å, c = 7.816 Å
α = 90.00°, β = 90.00°, γ = 90.00°
Space group Pmmm (No. 47)
One atom of each set of equivalent atoms:
Li  0.000  0.000  0.000 (multiplicity 1)
Sb  0.500  0.000  0.500 (multiplicity 1)
Sb  0.500  0.500  0.211 (multiplicity 2)

---

Unit: meV/atom. Relative energies: a) 147; b) 0.